No. 1
DFT (PBE) results for a geometry-optimized Si2SbRu structure.

Cell and atoms, written as CIF:
```
data_Si2SbRu
_space_group_name_H-M_alt 'P 1 m 1'
_space_group_IT_number 6
_space_group_name_Hall 'P -2y'
_cell_length_a 3.728
_cell_length_b 3.600
_cell_length_c 5.626
_cell_angle_alpha 90.00
_cell_angle_beta 105.47
_cell_angle_gamma 90.00
loop_
_atom_site_label
_atom_site_type_symbol
_atom_site_fract_x
_atom_site_fract_y
_atom_site_fract_z
Si1 Si 0.000 0.000 0.000
Si2 Si 0.461 0.500 0.002
Sb1 Sb 0.800 0.500 0.481
Ru1 Ru 0.399 0.000 0.711
```

Calculated values
ΔE_f (raw)   0.084 eV/atom

***

No. 2
DFT (PBE) results for a geometry-optimized KAl2GaBr8 structure.

Cell and atoms, written as CIF:
```
data_KAl2GaBr8
_space_group_name_H-M_alt 'R -3'
_space_group_IT_number 148
_space_group_name_Hall '-R 3'
_cell_length_a 7.0357
_cell_length_b 7.0357
_cell_length_c 30.2199
_cell_angle_alpha 90.00
_cell_angle_beta 90.00
_cell_angle_gamma 120.00
loop_
_atom_site_label
_atom_site_type_symbol
_atom_site_fract_x
_atom_site_fract_y
_atom_site_fract_z
K1 K 0.0000 0.0000 0.0000
Al1 Al 0.0000 0.0000 0.2543
Ga1 Ga 0.0000 0.0000 0.5000
Br1 Br 0.0000 0.0000 0.3310
Br2 Br 0.0032 0.3710 0.4371
```

Calculated values
ΔE_f (raw)   -1.158 eV/atom

***

No. 3
DFT (PBE) results for a geometry-optimized Tb5CeSn4 structure.

Cell and atoms, written as CIF:
```
data_Tb5CeSn4
_space_group_name_H-M_alt 'C 1 2/m 1'
_space_group_IT_number 12
_space_group_name_Hall '-C 2y'
_cell_length_a 16.065
_cell_length_b 5.347
_cell_length_c 7.231
_cell_angle_alpha 90.00
_cell_angle_beta 90.52
_cell_angle_gamma 90.00
loop_
_atom_site_label
_atom_site_type_symbol
_atom_site_fract_x
_atom_site_fract_y
_atom_site_fract_z
Tb1 Tb 0.000 0.000 0.000
Tb2 Tb 0.165 0.500 0.494
Tb3 Tb 0.166 0.500 0.011
Ce1 Ce 0.000 0.000 0.500
Sn1 Sn 0.009 0.500 0.756
Sn2 Sn 0.178 0.000 0.248
```

Calculated values
E   -5.01 eV/atom

***

No. 4
DFT (PBE) results for a geometry-optimized CrWS2N structure.

Cell and atoms, written as CIF:
```
data_CrWS2N
_space_group_name_H-M_alt 'P 4/m m m'
_space_group_IT_number 123
_space_group_name_Hall '-P 4 2'
_cell_length_a 4.809
_cell_length_b 4.809
_cell_length_c 3.805
_cell_angle_alpha 90.00
_cell_angle_beta 90.00
_cell_angle_gamma 90.00
loop_
_atom_site_label
_atom_site_type_symbol
_atom_site_fract_x
_atom_site_fract_y
_atom_site_fract_z
Cr1 Cr 0.000 0.000 0.000
W1 W 0.500 0.500 0.500
S1 S 0.000 0.500 0.500
N1 N 0.500 0.500 0.000
```

Calculated values
ΔE_f (raw)   0.234 eV/atom
Energy relative to the lowest polymorph listed for this composition   0.000 eV/atom

***

No. 5
DFT (PBE) results for a geometry-optimized PmEr2Ru2 structure.

Cell and atoms, written as CIF:
```
data_PmEr2Ru2
_space_group_name_H-M_alt 'P 1 21/m 1'
_space_group_IT_number 11
_space_group_name_Hall '-P 2yb'
_cell_length_a 5.240
_cell_length_b 4.384
_cell_length_c 11.067
_cell_angle_alpha 90.00
_cell_angle_beta 98.72
_cell_angle_gamma 90.00
loop_
_atom_site_label
_atom_site_type_symbol
_atom_site_fract_x
_atom_site_fract_y
_atom_site_fract_z
Pm1 Pm 0.033 0.250 0.260
Er1 Er 0.253 0.250 0.981
Er2 Er 0.440 0.250 0.622
Ru1 Ru 0.089 0.750 0.486
Ru2 Ru 0.277 0.750 0.140
```

Calculated values
Energy relative to the lowest polymorph listed for this composition   0.068 eV/atom

***

No. 6
DFT (PBE) results for a geometry-optimized PPbIO2 structure.

Cell and atoms, written as CIF:
```
data_PPbIO2
_space_group_name_H-M_alt 'P 4/m m m'
_space_group_IT_number 123
_space_group_name_Hall '-P 4 2'
_cell_length_a 4.227
_cell_length_b 4.227
_cell_length_c 6.553
_cell_angle_alpha 90.00
_cell_angle_beta 90.00
_cell_angle_gamma 90.00
loop_
_atom_site_label
_atom_site_type_symbol
_atom_site_fract_x
_atom_site_fract_y
_atom_site_fract_z
P1 P 0.000 0.000 0.000
Pb1 Pb 0.500 0.500 0.500
I1 I 0.500 0.500 0.000
O1 O 0.000 0.500 0.500
```

Calculated values
ΔE_f (raw)   0.299 eV/atom

***

No. 7
DFT (PBE) results for a geometry-optimized BaBeRe2 structure.

Cell and atoms, written as CIF:
```
data_BaBeRe2
_space_group_name_H-M_alt 'R -3 m'
_space_group_IT_number 166
_space_group_name_Hall '-R 3 2"'
_cell_length_a 4.2578
_cell_length_b 4.2578
_cell_length_c 18.1495
_cell_angle_alpha 90.00
_cell_angle_beta 90.00
_cell_angle_gamma 120.00
loop_
_atom_site_label
_atom_site_type_symbol
_atom_site_fract_x
_atom_site_fract_y
_atom_site_fract_z
Ba1 Ba 0.0000 0.0000 0.0000
Be1 Be 0.0000 0.0000 0.5000
Re1 Re 0.0000 0.0000 0.1806
```

Calculated values
E   -7.29 eV/atom

***

No. 8
DFT (PBE) results for a geometry-optimized AgAu2Cl structure.

Cell and atoms, written as CIF:
```
data_AgAu2Cl
_space_group_name_H-M_alt 'F m -3 m'
_space_group_IT_number 225
_space_group_name_Hall '-F 4 2 3'
_cell_length_a 6.735
_cell_length_b 6.735
_cell_length_c 6.735
_cell_angle_alpha 90.00
_cell_angle_beta 90.00
_cell_angle_gamma 90.00
loop_
_atom_site_label
_atom_site_type_symbol
_atom_site_fract_x
_atom_site_fract_y
_atom_site_fract_z
Ag1 Ag 0.000 0.000 0.000
Au1 Au 0.250 0.250 0.250
Cl1 Cl 0.000 0.000 0.500
```

Calculated values
ΔE_f (raw)   0.290 eV/atom
Energy relative to the lowest polymorph listed for this composition   0.327 eV/atom

***

No. 9
DFT (PBE) results for a geometry-optimized SmDy12In6 structure.

Cell and atoms, written as CIF:
```
data_SmDy12In6
_space_group_name_H-M_alt 'R -3'
_space_group_IT_number 148
_space_group_name_Hall '-R 3'
_cell_length_a 11.4594
_cell_length_b 11.4594
_cell_length_c 14.4937
_cell_angle_alpha 90.00
_cell_angle_beta 90.00
_cell_angle_gamma 120.00
loop_
_atom_site_label
_atom_site_type_symbol
_atom_site_fract_x
_atom_site_fract_y
_atom_site_fract_z
Sm1 Sm 0.0000 0.0000 0.0000
Dy1 Dy 0.0372 0.8504 0.8098
Dy2 Dy 0.0611 0.2147 0.4108
In1 In 0.0232 0.5904 0.7123
```

Calculated values
E   -4.22 eV/atom

***

No. 10
DFT (PBE) results for a geometry-optimized MgHPd3 structure.

Cell and atoms, written as CIF:
```
data_MgHPd3
_space_group_name_H-M_alt 'I -4 m 2'
_space_group_IT_number 119
_space_group_name_Hall 'I -4 -2'
_cell_length_a 4.772
_cell_length_b 4.772
_cell_length_c 18.546
_cell_angle_alpha 90.00
_cell_angle_beta 90.00
_cell_angle_gamma 90.00
loop_
_atom_site_label
_atom_site_type_symbol
_atom_site_fract_x
_atom_site_fract_y
_atom_site_fract_z
Mg1 Mg 0.000 0.000 0.000
Mg2 Mg 0.000 0.500 0.250
H1 H 0.000 0.500 0.625
Pd1 Pd 0.000 0.000 0.371
Pd2 Pd 0.000 0.246 0.125
```

Calculated values
Energy relative to the lowest polymorph listed for this composition   0.949 eV/atom

***

No. 11
DFT (PBE) results for a geometry-optimized Ta2NiPtCl structure.

Cell and atoms, written as CIF:
```
data_Ta2NiPtCl
_space_group_name_H-M_alt 'P 4/m m m'
_space_group_IT_number 123
_space_group_name_Hall '-P 4 2'
_cell_length_a 4.614
_cell_length_b 4.614
_cell_length_c 4.657
_cell_angle_alpha 90.00
_cell_angle_beta 90.00
_cell_angle_gamma 90.00
loop_
_atom_site_label
_atom_site_type_symbol
_atom_site_fract_x
_atom_site_fract_y
_atom_site_fract_z
Ta1 Ta 0.000 0.500 0.000
Ni1 Ni 0.000 0.000 0.000
Pt1 Pt 0.000 0.000 0.500
Cl1 Cl 0.500 0.500 0.500
```

Calculated values
ΔE_f (raw)   0.968 eV/atom